1.
DFT (PBE-GGA) results for a geometry-optimized RbZnBiCl6 structure.

Geometry as POSCAR:
```
RbZnBiCl6
1.0
6.866 0.000 0.000
3.433 5.946 0.000
0.000 0.000 7.294
Cl Bi Rb Zn
6 1 1 1
direct
0.613 0.026 0.297 Cl
0.613 0.361 0.703 Cl
0.361 0.613 0.297 Cl
0.361 0.026 0.703 Cl
0.026 0.613 0.703 Cl
0.026 0.361 0.297 Cl
0.667 0.667 0.500 Bi
0.000 0.000 0.000 Rb
0.333 0.333 0.500 Zn
```

Spin magnetization in Bohr magnetons per cell: 0.00
Density of states at the Fermi level in states/eV/f.u.: 0.000
Raw total energy in eV for the cell shown: -28.6


2.
DFT (PBE-GGA) results for a geometry-optimized NbTlTe2As structure.

Geometry as POSCAR:
```
NbTlTe2As
1.0
-1.060 -3.839 3.944
2.470 -3.527 -2.770
4.794 1.330 2.582
Tl Te As Nb
1 2 1 1
direct
0.000 0.000 0.000 Tl
0.000 0.000 0.500 Te
0.500 0.000 0.000 Te
0.000 0.500 0.000 As
0.500 0.500 0.500 Nb
```

Spin magnetization in Bohr magnetons per cell: 0.00
Density of states at the Fermi level in states/eV/f.u.: 12.171
Raw total energy in eV for the cell shown: -16.0


3.
DFT (PBE-GGA) results for a geometry-optimized La3Tb2YSb6 structure.

Geometry as POSCAR:
```
La3Tb2YSb6
1.0
7.825 0.000 0.001
-3.911 6.778 0.001
-1.305 -2.259 7.353
Sb Tb La Y
6 2 3 1
direct
0.921 0.588 0.762 Sb
0.588 0.921 0.762 Sb
0.746 0.746 0.238 Sb
0.079 0.412 0.238 Sb
0.254 0.254 0.762 Sb
0.412 0.079 0.238 Sb
0.667 0.333 0.000 Tb
0.333 0.667 0.000 Tb
0.167 0.833 0.500 La
0.833 0.167 0.500 La
0.500 0.500 0.500 La
0.000 0.000 0.000 Y
```

Spin magnetization in Bohr magnetons per cell: 0.00
Density of states at the Fermi level in states/eV/f.u.: 2.153
Raw total energy in eV for the cell shown: -69.8